Entry 1:
VASP calculation (PBEsol) on a geometry-optimized ZnAs structure.

abc: 3.8719 3.8719 2.8637
angles: 90.00 90.00 120.00
Space group P-6m2 (No. 187)
Unique sites:
Zn1 0.0000 0.0000 0.0000
As1 0.6667 0.3333 0.5000

- Crystal system: hexagonal
- Energy of formation: 23 kJ/mol of formula units
- Raw total energy: -3.227 eV/atom


Entry 2:
VASP calculation (PBEsol) on a geometry-optimized Zn3As structure.

abc: 3.976 3.976 3.976
angles: 90.00 90.00 90.00
Space group Pm-3m (No. 221)
Unique sites:
Zn1 0.000 0.000 0.500
As1 0.500 0.500 0.500

- Crystal system: cubic
- Energy of formation: 48 kJ/mol of formula units
- Raw total energy: -2.339 eV/atom


Entry 3:
VASP calculation (PBEsol) on a geometry-optimized Zn3As2 structure.

abc: 8.282 8.282 11.619
angles: 90.00 90.00 90.00
Space group P4_2/nmc (No. 137, origin choice 2)
Unique sites:
Zn1 0.000 0.250 0.110
Zn2 0.023 0.750 0.368
Zn3 0.025 0.250 0.362
As1 0.003 0.503 0.250
As2 0.250 0.250 0.002
As3 0.250 0.750 0.503

- Crystal system: tetragonal
- Energy of formation: -45 kJ/mol of formula units
- Raw total energy: -3.086 eV/atom


Entry 4:
VASP calculation (PBEsol) on a geometry-optimized ZnAs structure.

abc: 4.253 7.357 5.064
angles: 90.00 90.00 90.00
Space group Cmcm (No. 63)
Unique sites:
Zn1 0.000 0.096 0.250
As1 0.000 0.237 0.750

- Crystal system: orthorhombic
- Energy of formation: 3 kJ/mol of formula units
- Raw total energy: -3.327 eV/atom


Entry 5:
VASP calculation (PBEsol) on a geometry-optimized Zr3ZnAs structure.

abc: 4.854 4.854 4.854
angles: 90.00 90.00 90.00
Space group Pm-3m (No. 221)
Unique sites:
Zr1 0.000 0.000 0.500
Zn1 0.000 0.000 0.000
As1 0.500 0.500 0.500

- Crystal system: cubic
- Energy of formation: 212 kJ/mol of formula units
- Raw total energy: -6.352 eV/atom


Entry 6:
VASP calculation (PBEsol) on a geometry-optimized ZrZnAs2 structure.

abc: 10.533 3.602 3.844
angles: 90.00 94.40 90.00
Space group Cm (No. 8)
Unique sites:
Zr1 0.000 0.000 0.000
Zn1 0.292 0.500 0.453
As1 0.063 0.500 0.514
As2 0.293 0.000 0.964

- Crystal system: monoclinic
- Energy of formation: -230 kJ/mol of formula units
- Raw total energy: -5.817 eV/atom


Entry 7:
VASP calculation (PBEsol) on a geometry-optimized ZrZnAs2 structure.

abc: 5.900 5.900 11.470
angles: 90.00 90.00 90.00
Space group I-42d (No. 122)
Unique sites:
Zr1 0.000 0.000 0.000
Zn1 0.000 0.000 0.500
As1 0.233 0.250 0.625

- Crystal system: tetragonal
- Energy of formation: -99 kJ/mol of formula units
- Raw total energy: -5.479 eV/atom


Entry 8:
VASP calculation (PBEsol) on a geometry-optimized ZrZnAs2 structure.

abc: 2.9784 2.9784 30.5092
angles: 90.00 90.00 120.00
Space group R3m (No. 160, hexagonal axes)
Unique sites:
Zr1 0.0000 0.0000 0.0000
Zn1 0.0000 0.0000 0.7449
As1 0.0000 0.0000 0.2575
As2 0.0000 0.0000 0.4802

- Crystal system: trigonal
- Energy of formation: 1 kJ/mol of formula units
- Raw total energy: -5.219 eV/atom


Entry 9:
VASP calculation (PBEsol) on a geometry-optimized Zr2As structure.

abc: 3.5715 3.5715 5.7749
angles: 90.00 90.00 120.00
Space group P-3m1 (No. 164)
Unique sites:
Zr1 0.3333 0.6667 0.2910
As1 0.0000 0.0000 0.0000

- Crystal system: trigonal
- Energy of formation: -207 kJ/mol of formula units
- Raw total energy: -8.476 eV/atom


Entry 10:
VASP calculation (PBEsol) on a geometry-optimized ZrAs3 structure.

abc: 8.585 6.934 5.023
angles: 90.00 90.00 90.00
Space group Cmcm (No. 63)
Unique sites:
Zr1 0.000 0.182 0.250
As1 0.000 0.405 0.750
As2 0.196 0.146 0.750

- Crystal system: orthorhombic
- Energy of formation: -183 kJ/mol of formula units
- Raw total energy: -6.577 eV/atom


Entry 11:
VASP calculation (PBEsol) on a geometry-optimized ZrAs5 structure.

abc: 10.288 3.520 7.229
angles: 90.00 116.56 90.00
Space group Cm (No. 8)
Unique sites:
Zr1 0.000 0.000 0.000
As1 0.075 0.000 0.658
As2 0.211 0.500 0.953
As3 0.231 0.500 0.335
As4 0.327 0.000 0.685
As5 0.485 0.000 0.283

- Crystal system: monoclinic
- Energy of formation: -133 kJ/mol of formula units
- Raw total energy: -6.000 eV/atom


Entry 12:
VASP calculation (PBEsol) on a geometry-optimized Zr2As structure.

abc: 6.483 6.483 5.488
angles: 90.00 90.00 90.00
Space group I4/mcm (No. 140)
Unique sites:
Zr1 0.159 0.341 0.000
As1 0.000 0.000 0.250

- Crystal system: tetragonal
- Energy of formation: -275 kJ/mol of formula units
- Raw total energy: -8.712 eV/atom


Q: Number 10 is which compound?
A: ZrAs3